# Nd4Dy10Y, optimized geometry, DFT GGA-PBE
# - E_tot (eV/cell) = -120.3
# - calculated formation energy (eV/atom) = 0.761
data_Nd4Dy10Y
_chemical_formula_sum 'Nd8 Dy20 Y2'
_symmetry_space_group_name_H-M 'I 4/m'
_symmetry_Int_Tables_number 87
_symmetry_space_group_name_Hall '-I 4'
_cell_length_a 12.251
_cell_length_b 12.251
_cell_length_c 7.751
_cell_angle_alpha 90.00
_cell_angle_beta 90.00
_cell_angle_gamma 90.00
loop_
_atom_site_label
_atom_site_type_symbol
_atom_site_fract_x
_atom_site_fract_y
_atom_site_fract_z
Nd1 Nd 0.101 0.701 0.000
Dy1 Dy 0.000 0.500 0.250
Dy2 Dy 0.099 0.200 0.251
Y1 Y 0.000 0.000 0.500


# NdDy5Y5, optimized geometry, DFT GGA-PBE
# - energy above the most stable polymorph in this dataset (meV per atom) = 0
# - E_tot (eV/cell) = -56.8
# - calculated formation energy (eV/atom) = 0.296
data_NdDy5Y5
_chemical_formula_sum 'Nd1 Dy5 Y5'
_symmetry_space_group_name_H-M 'P -6 m 2'
_symmetry_Int_Tables_number 187
_symmetry_space_group_name_Hall 'P -6 2'
_cell_length_a 6.1072
_cell_length_b 6.1072
_cell_length_c 11.5072
_cell_angle_alpha 90.00
_cell_angle_beta 90.00
_cell_angle_gamma 120.00
loop_
_atom_site_label
_atom_site_type_symbol
_atom_site_fract_x
_atom_site_fract_y
_atom_site_fract_z
Nd1 Nd 0.0000 0.0000 0.0000
Dy1 Dy 0.0030 0.5015 0.5000
Dy2 Dy 0.6667 0.3333 0.2656
Y1 Y 0.0000 0.0000 0.3257
Y2 Y 0.3333 0.6667 0.1611
Y3 Y 0.6667 0.3333 0.0000


# NdDy2Y, optimized geometry, DFT GGA-PBE
# - energy above the most stable polymorph in this dataset (meV per atom) = 13
# - E_tot (eV/cell) = -61.1
# - calculated formation energy (eV/atom) = 0.019
data_NdDy2Y
_chemical_formula_sum 'Nd3 Dy6 Y3'
_symmetry_space_group_name_H-M 'R -3 m'
_symmetry_Int_Tables_number 166
_symmetry_space_group_name_Hall '-R 3 2"'
_cell_length_a 3.5867
_cell_length_b 3.5867
_cell_length_c 35.0467
_cell_angle_alpha 90.00
_cell_angle_beta 90.00
_cell_angle_gamma 120.00
loop_
_atom_site_label
_atom_site_type_symbol
_atom_site_fract_x
_atom_site_fract_y
_atom_site_fract_z
Nd1 Nd 0.0000 0.0000 0.0000
Dy1 Dy 0.0000 0.0000 0.2491
Y1 Y 0.0000 0.0000 0.5000


# NdDy4Y, optimized geometry, DFT GGA-PBE
# - energy above the most stable polymorph in this dataset (meV per atom) = 237
# - E_tot (eV/cell) = -112.4
# - calculated formation energy (eV/atom) = 0.257
data_NdDy4Y
_chemical_formula_sum 'Nd4 Dy16 Y4'
_symmetry_space_group_name_H-M 'F -4 3 m'
_symmetry_Int_Tables_number 216
_symmetry_space_group_name_Hall 'F -4 2 3'
_cell_length_a 9.335
_cell_length_b 9.335
_cell_length_c 9.335
_cell_angle_alpha 90.00
_cell_angle_beta 90.00
_cell_angle_gamma 90.00
loop_
_atom_site_label
_atom_site_type_symbol
_atom_site_fract_x
_atom_site_fract_y
_atom_site_fract_z
Nd1 Nd 0.000 0.000 0.000
Dy1 Dy 0.125 0.125 0.375
Y1 Y 0.250 0.250 0.750


# Nd6Dy2Y, optimized geometry, DFT GGA-PBE
# - energy above the most stable polymorph in this dataset (meV per atom) = 0
# - E_tot (eV/cell) = -174.2
# - calculated formation energy (eV/atom) = 0.082
data_Nd6Dy2Y
_chemical_formula_sum 'Nd24 Dy8 Y4'
_symmetry_space_group_name_H-M 'C 1 2/c 1'
_symmetry_Int_Tables_number 15
_cell_length_a 16.526
_cell_length_b 11.871
_cell_length_c 6.270
_cell_angle_alpha 90.00
_cell_angle_beta 96.12
_cell_angle_gamma 90.00
loop_
_symmetry_equiv_pos_as_xyz
'x,y,z'
'-x,-y,-z'
'-x,y,-z+1/2'
'x,-y,z+1/2'
'x+1/2,y+1/2,z'
'-x+1/2,-y+1/2,-z'
'-x+1/2,y+1/2,-z+1/2'
'x+1/2,-y+1/2,z+1/2'
loop_
_atom_site_label
_atom_site_type_symbol
_atom_site_fract_x
_atom_site_fract_y
_atom_site_fract_z
Nd1 Nd 0.048 0.140 0.014
Nd2 Nd 0.120 0.358 0.319
Nd3 Nd 0.215 0.360 0.847
Dy1 Dy 0.166 0.100 0.586
Y1 Y 0.000 0.400 0.750


# Nd2Dy4Y5, optimized geometry, DFT GGA-PBE
# - energy above the most stable polymorph in this dataset (meV per atom) = 0
# - E_tot (eV/cell) = -117.2
# - calculated formation energy (eV/atom) = 0.151
data_Nd2Dy4Y5
_chemical_formula_sum 'Nd4 Dy8 Y10'
_symmetry_space_group_name_H-M 'C 1 2/m 1'
_symmetry_Int_Tables_number 12
_cell_length_a 23.954
_cell_length_b 3.476
_cell_length_c 8.773
_cell_angle_alpha 90.00
_cell_angle_beta 96.26
_cell_angle_gamma 90.00
loop_
_symmetry_equiv_pos_as_xyz
'x,y,z'
'-x,-y,-z'
'-x,y,-z'
'x,-y,z'
'x+1/2,y+1/2,z'
'-x+1/2,-y+1/2,-z'
'-x+1/2,y+1/2,-z'
'x+1/2,-y+1/2,z'
loop_
_atom_site_label
_atom_site_type_symbol
_atom_site_fract_x
_atom_site_fract_y
_atom_site_fract_z
Nd1 Nd 0.091 0.000 0.240
Dy1 Dy 0.046 0.000 0.861
Dy2 Dy 0.177 0.500 0.972
Y1 Y 0.000 0.500 0.500
Y2 Y 0.141 0.000 0.621
Y3 Y 0.233 0.000 0.324


# Nd5DyY, optimized geometry, DFT GGA-PBE
# - energy above the most stable polymorph in this dataset (meV per atom) = 836
# - E_tot (eV/cell) = -56.0
# - calculated formation energy (eV/atom) = 0.988
data_Nd5DyY
_chemical_formula_sum 'Nd10 Dy2 Y2'
_symmetry_space_group_name_H-M 'I m m m'
_symmetry_Int_Tables_number 71
_symmetry_space_group_name_Hall '-I 2 2'
_cell_length_a 5.939
_cell_length_b 8.841
_cell_length_c 12.188
_cell_angle_alpha 90.00
_cell_angle_beta 90.00
_cell_angle_gamma 90.00
loop_
_atom_site_label
_atom_site_type_symbol
_atom_site_fract_x
_atom_site_fract_y
_atom_site_fract_z
Nd1 Nd 0.000 0.000 0.000
Nd2 Nd 0.000 0.177 0.500
Nd3 Nd 0.000 0.500 0.252
Dy1 Dy 0.000 0.500 0.500
Y1 Y 0.000 0.500 0.000


# Nd10DyY6, optimized geometry, DFT GGA-PBE
# - E_tot (eV/cell) = -88.9
# - calculated formation energy (eV/atom) = 0.130
data_Nd10DyY6
_chemical_formula_sum 'Nd10 Dy1 Y6'
_symmetry_space_group_name_H-M 'P -3 1 m'
_symmetry_Int_Tables_number 162
_symmetry_space_group_name_Hall '-P 3 2'
_cell_length_a 9.8884
_cell_length_b 9.8884
_cell_length_c 6.9433
_cell_angle_alpha 90.00
_cell_angle_beta 90.00
_cell_angle_gamma 120.00
loop_
_atom_site_label
_atom_site_type_symbol
_atom_site_fract_x
_atom_site_fract_y
_atom_site_fract_z
Nd1 Nd 0.0000 0.2747 0.3184
Nd2 Nd 0.3333 0.6667 0.0000
Nd3 Nd 0.3333 0.6667 0.5000
Dy1 Dy 0.0000 0.0000 0.0000
Y1 Y 0.0000 0.3682 0.8123